No. 1
Compound: ThTa2RuC4
Source: Alexandria
Functional: PBE
Structure: optimized geometry

Results
Magnetization in Bohr magnetons per cell: 0.00
Space-group type: Cmcm, No. 63
Calculated formation energy in eV per atom: -0.2119

abc: 5.9234 5.9234 11.0744
angles: 90.00 90.00 147.30
Fractional positions:
Th 0.1050 0.8950 0.7500
Th 0.8950 0.1050 0.2500
Ta 0.3716 0.6284 0.5414
Ta 0.3716 0.6284 0.9586
Ta 0.6284 0.3716 0.0414
Ta 0.6284 0.3716 0.4586
Ru 0.1584 0.8416 0.2500
Ru 0.8416 0.1584 0.7500
C 0.0000 0.0000 0.0000
C 0.0000 0.0000 0.5000
C 0.2667 0.7333 0.1115
C 0.2667 0.7333 0.3885
C 0.4334 0.5666 0.7500
C 0.5666 0.4334 0.2500
C 0.7333 0.2667 0.6115
C 0.7333 0.2667 0.8885

No. 2
Compound: TbRuC
Source: Alexandria
Functional: PBE
Structure: optimized geometry

Results
Magnetization in Bohr magnetons per cell: 0.00
Space-group type: C2/m, No. 12
Calculated formation energy in eV per atom: -0.2132
Polymorph energy (0 for the lowest one) in meV/atom: 13

abc: 11.0131 4.9713 3.9351
angles: 90.00 107.92 90.00
Fractional positions:
Tb 0.1461 0.0000 0.3518
Tb 0.3539 0.5000 0.6482
Tb 0.6461 0.5000 0.3518
Tb 0.8539 0.0000 0.6482
Ru 0.0848 0.5000 0.8253
Ru 0.4152 0.0000 0.1747
Ru 0.5848 0.0000 0.8253
Ru 0.9152 0.5000 0.1747
C 0.1142 0.5000 0.3537
C 0.3858 0.0000 0.6463
C 0.6142 0.0000 0.3537
C 0.8858 0.5000 0.6463

No. 3
Compound: Tb2Ru5C4
Source: Alexandria
Functional: PBE
Structure: optimized geometry

Results
Magnetization in Bohr magnetons per cell: 0.00
Space-group type: Fmmm, No. 69
Calculated formation energy in eV per atom: -0.0783

abc: 7.3499 6.1311 5.5802
angles: 77.59 54.55 47.86
Fractional positions:
Tb 0.1448 0.1448 0.8552
Tb 0.8552 0.8552 0.1448
Ru 0.0000 0.0000 0.5000
Ru 0.2500 0.2500 0.2500
Ru 0.5000 0.5000 0.0000
Ru 0.5000 0.5000 0.5000
Ru 0.7500 0.7500 0.7500
C 0.2076 0.5308 0.4692
C 0.4692 0.7924 0.2076
C 0.5308 0.2076 0.7924
C 0.7924 0.4692 0.5308

No. 4
Compound: Tb2RuC
Source: Alexandria
Functional: PBE
Structure: optimized geometry

Results
Magnetization in Bohr magnetons per cell: 0.00
Space-group type: P2_1/m, No. 11
Calculated formation energy in eV per atom: -0.1614
Polymorph energy (0 for the lowest one) in meV/atom: 72

abc: 5.1708 3.3749 8.7299
angles: 90.00 91.21 90.00
Fractional positions:
Tb 0.2425 0.2500 0.4289
Tb 0.2464 0.7500 0.0934
Tb 0.7536 0.2500 0.9066
Tb 0.7575 0.7500 0.5711
Ru 0.2408 0.7500 0.7553
Ru 0.7592 0.2500 0.2447
C 0.0537 0.2500 0.6890
C 0.9463 0.7500 0.3110

No. 5
Compound: Tb12Ru3C5
Source: Alexandria
Functional: PBE
Structure: optimized geometry

Results
Magnetization in Bohr magnetons per cell: 0.00
Space-group type: Ia-3d, No. 230
Calculated formation energy in eV per atom: -0.1143

abc: 13.3563 13.3563 13.3563
angles: 109.47 109.47 109.47
Fractional positions:
Tb 0.0294 0.2081 0.1269
Tb 0.0294 0.3213 0.9025
Tb 0.0813 0.7081 0.6787
Tb 0.0813 0.8731 0.4025
Tb 0.0975 0.6269 0.4187
Tb 0.0975 0.9706 0.6787
Tb 0.1269 0.0294 0.2081
Tb 0.1269 0.5975 0.9187
Tb 0.1787 0.2081 0.5813
Tb 0.1787 0.4706 0.5975
Tb 0.2081 0.1269 0.0294
Tb 0.2081 0.5813 0.1787
Tb 0.2919 0.3213 0.9187
Tb 0.2919 0.4706 0.3731
Tb 0.3213 0.9025 0.0294
Tb 0.3213 0.9187 0.2919
Tb 0.3731 0.2919 0.4706
Tb 0.3731 0.5813 0.9025
Tb 0.4025 0.0813 0.8731
Tb 0.4025 0.8213 0.5294
Tb 0.4187 0.0975 0.6269
Tb 0.4187 0.8213 0.7919
Tb 0.4706 0.3731 0.2919
Tb 0.4706 0.5975 0.1787
Tb 0.5294 0.4025 0.8213
Tb 0.5294 0.6269 0.7081
Tb 0.5813 0.1787 0.2081
Tb 0.5813 0.9025 0.3731
Tb 0.5975 0.1787 0.4706
Tb 0.5975 0.9187 0.1269
Tb 0.6269 0.4187 0.0975
Tb 0.6269 0.7081 0.5294
Tb 0.6787 0.0813 0.7081
Tb 0.6787 0.0975 0.9706
Tb 0.7081 0.5294 0.6269
Tb 0.7081 0.6787 0.0813
Tb 0.7919 0.4187 0.8213
Tb 0.7919 0.8731 0.9706
Tb 0.8213 0.5294 0.4025
Tb 0.8213 0.7919 0.4187
Tb 0.8731 0.4025 0.0813
Tb 0.8731 0.9706 0.7919
Tb 0.9025 0.0294 0.3213
Tb 0.9025 0.3731 0.5813
Tb 0.9187 0.1269 0.5975
Tb 0.9187 0.2919 0.3213
Tb 0.9706 0.6787 0.0975
Tb 0.9706 0.7919 0.8731
Ru 0.1250 0.2500 0.3750
Ru 0.1250 0.3750 0.7500
Ru 0.2500 0.3750 0.1250
Ru 0.2500 0.8750 0.6250
Ru 0.3750 0.1250 0.2500
Ru 0.3750 0.7500 0.1250
Ru 0.6250 0.2500 0.8750
Ru 0.6250 0.8750 0.7500
Ru 0.7500 0.1250 0.3750
Ru 0.7500 0.6250 0.8750
Ru 0.8750 0.6250 0.2500
Ru 0.8750 0.7500 0.6250
C 0.0000 0.0000 0.0000
C 0.0000 0.0000 0.5000
C 0.0000 0.5000 0.0000
C 0.0000 0.5000 0.5000
C 0.1250 0.7500 0.8750
C 0.1250 0.8750 0.2500
C 0.2500 0.1250 0.8750
C 0.2500 0.6250 0.3750
C 0.3750 0.2500 0.6250
C 0.3750 0.6250 0.7500
C 0.5000 0.0000 0.0000
C 0.5000 0.0000 0.5000
C 0.5000 0.5000 0.0000
C 0.5000 0.5000 0.5000
C 0.6250 0.3750 0.2500
C 0.6250 0.7500 0.3750
C 0.7500 0.3750 0.6250
C 0.7500 0.8750 0.1250
C 0.8750 0.1250 0.7500
C 0.8750 0.2500 0.1250

No. 6
Compound: Tb3RuC3
Source: Alexandria
Functional: PBE
Structure: optimized geometry

Results
Magnetization in Bohr magnetons per cell: 0.00
Space-group type: Cmcm, No. 63
Calculated formation energy in eV per atom: -0.2945

abc: 6.8108 6.8108 5.1251
angles: 90.00 90.00 100.55
Fractional positions:
Tb 0.1083 0.8917 0.7500
Tb 0.1649 0.4049 0.7500
Tb 0.4049 0.1649 0.2500
Tb 0.5951 0.8351 0.7500
Tb 0.8351 0.5951 0.2500
Tb 0.8917 0.1083 0.2500
Ru 0.3059 0.6941 0.2500
Ru 0.6941 0.3059 0.7500
C 0.1202 0.8798 0.2500
C 0.1684 0.4198 0.2500
C 0.4198 0.1684 0.7500
C 0.5802 0.8316 0.2500
C 0.8316 0.5802 0.7500
C 0.8798 0.1202 0.7500

Going through the records in order, we get V values of 13.12 17.08 13.22 19.04 22.93 16.69 Å³/atom.
Going through the records in order, we get E_tot values of -78.992 -23.770 -93.396 -28.406 -131.796 -52.899 eV/f.u..